A plane-wave DFT calculation with PBE+U was carried out for crystalline ThPaFe2O8 at its relaxed geometry.

## Properties
Electronic total energy ... -98.15 eV/cell

abc: 6.072 6.072 6.072
angles: 108.05 108.05 112.35
Positions (direct):
Th  0.000  0.000  0.000
Pa  0.250  0.750  0.500
Fe  0.500  0.500  0.000
Fe  0.750  0.250  0.500
O  0.310  0.116  0.806
O  0.310  0.504  0.194
O  0.374  0.054  0.320
O  0.496  0.690  0.806
O  0.734  0.054  0.680
O  0.884  0.690  0.194
O  0.946  0.266  0.320
O  0.946  0.626  0.680